VCrPdO2 | PBE+U | optimized geometry

Cell: 4.0909 4.0909 4.9260 Å, 90.00 90.00 90.00°
Space group P4/mmm (No. 123)
Symmetry-distinct sites (fractional):
V  0.0000  0.0000  0.0000 [1 per cell]
Cr  0.5000  0.5000  0.0000 [1 per cell]
Pd  0.0000  0.0000  0.5000 [1 per cell]
O  0.0000  0.5000  0.5000 [2 per cell]

## Properties
total DFT energy (no corrections): -5.29 eV per atom
crystal system: tetragonal